[1]
The following is a PBE calculation of a geometry-optimized Sr2ScIr structure, from the Alexandria database.

The energy above the most stable polymorph in this dataset comes out at 0.156 eV per atom. The total energy comes out at -19.0 eV/cell.

Cell: 5.0252 4.3188 7.7926 Å, 90.00 108.68 90.00°
Last column: nearest neighbours and their distance in Å.
Fractional coordinates of all 4 atoms:
Sr 0.1357 0.0000 0.2722  2 Ir 2.95
Sr 0.8643 0.0000 0.7278  2 Ir 2.95
Sc 0.5000 0.5000 0.0000  2 Ir 2.51
Ir 0.0000 0.5000 0.0000  2 Sc 2.51

---

[2]
The following is a PBE calculation of a geometry-optimized Li2ScTa3N6 structure, from the Alexandria database.

The total energy comes out at -110.5 eV/cell. As for the energy relative to the elements, uncorrected: -1.239 eV/atom.

Cell: 5.3347 5.3347 5.4519 Å, 99.26 99.26 120.03°
Last column: nearest neighbours and their distance in Å.
Fractional coordinates of all 12 atoms:
Li 0.1656 0.8344 0.0000  6 N 2.25-2.26
Li 0.8344 0.1656 0.0000  6 N 2.25-2.26
Sc 0.5000 0.5000 0.0000  6 N 2.24
Ta 0.0000 0.0000 0.5000  6 N 2.14-2.15
Ta 0.3293 0.6707 0.5000  6 N 2.14-2.16
Ta 0.6707 0.3293 0.5000  6 N 2.14-2.16
N 0.0810 0.4113 0.7337  3 Ta 2.14, 1 Sc 2.24, 2 Li 2.25-2.26
N 0.2609 0.2609 0.2701  3 Ta 2.15-2.16, 1 Sc 2.24, 2 Li 2.26
N 0.4113 0.0810 0.7337  3 Ta 2.14, 1 Sc 2.24, 2 Li 2.25-2.26
N 0.5887 0.9190 0.2663  3 Ta 2.14, 1 Sc 2.24, 2 Li 2.25-2.26
N 0.7391 0.7391 0.7299  3 Ta 2.15-2.16, 1 Sc 2.24, 2 Li 2.26
N 0.9190 0.5887 0.2663  3 Ta 2.14, 1 Sc 2.24, 2 Li 2.25-2.26

---

[3]
The following is a PBE calculation of a geometry-optimized CeYInPb structure, from the Alexandria database.

The energy above the most stable polymorph in this dataset comes out at 0.000 eV per atom. The total energy comes out at -20.5 eV/cell.

Cell: 5.7039 5.7039 5.7039 Å, 127.57 127.57 77.32°
Last column: nearest neighbours and their distance in Å.
Fractional coordinates of all 4 atoms:
Ce 0.0000 0.0000 0.0000  4 In 3.36, 4 Pb 3.36, 4 Y 3.56
Y 0.5000 0.5000 0.0000  4 In 3.36, 4 Pb 3.36, 4 Ce 3.56
In 0.7500 0.2500 0.5000  4 Ce 3.36, 4 Y 3.36, 4 Pb 3.56
Pb 0.2500 0.7500 0.5000  4 Ce 3.36, 4 Y 3.36, 4 In 3.56

---

Repeat the second record exactly.
The following is a PBE calculation of a geometry-optimized Li2ScTa3N6 structure, from the Alexandria database.

The total energy comes out at -110.5 eV/cell. As for the energy relative to the elements, uncorrected: -1.239 eV/atom.

Cell: 5.3347 5.3347 5.4519 Å, 99.26 99.26 120.03°
Last column: nearest neighbours and their distance in Å.
Fractional coordinates of all 12 atoms:
Li 0.1656 0.8344 0.0000  6 N 2.25-2.26
Li 0.8344 0.1656 0.0000  6 N 2.25-2.26
Sc 0.5000 0.5000 0.0000  6 N 2.24
Ta 0.0000 0.0000 0.5000  6 N 2.14-2.15
Ta 0.3293 0.6707 0.5000  6 N 2.14-2.16
Ta 0.6707 0.3293 0.5000  6 N 2.14-2.16
N 0.0810 0.4113 0.7337  3 Ta 2.14, 1 Sc 2.24, 2 Li 2.25-2.26
N 0.2609 0.2609 0.2701  3 Ta 2.15-2.16, 1 Sc 2.24, 2 Li 2.26
N 0.4113 0.0810 0.7337  3 Ta 2.14, 1 Sc 2.24, 2 Li 2.25-2.26
N 0.5887 0.9190 0.2663  3 Ta 2.14, 1 Sc 2.24, 2 Li 2.25-2.26
N 0.7391 0.7391 0.7299  3 Ta 2.15-2.16, 1 Sc 2.24, 2 Li 2.26
N 0.9190 0.5887 0.2663  3 Ta 2.14, 1 Sc 2.24, 2 Li 2.25-2.26

---

Please write out number 2 again, unchanged.
The following is a PBE calculation of a geometry-optimized Li2ScTa3N6 structure, from the Alexandria database.

The total energy comes out at -110.5 eV/cell. As for the energy relative to the elements, uncorrected: -1.239 eV/atom.

Cell: 5.3347 5.3347 5.4519 Å, 99.26 99.26 120.03°
Last column: nearest neighbours and their distance in Å.
Fractional coordinates of all 12 atoms:
Li 0.1656 0.8344 0.0000  6 N 2.25-2.26
Li 0.8344 0.1656 0.0000  6 N 2.25-2.26
Sc 0.5000 0.5000 0.0000  6 N 2.24
Ta 0.0000 0.0000 0.5000  6 N 2.14-2.15
Ta 0.3293 0.6707 0.5000  6 N 2.14-2.16
Ta 0.6707 0.3293 0.5000  6 N 2.14-2.16
N 0.0810 0.4113 0.7337  3 Ta 2.14, 1 Sc 2.24, 2 Li 2.25-2.26
N 0.2609 0.2609 0.2701  3 Ta 2.15-2.16, 1 Sc 2.24, 2 Li 2.26
N 0.4113 0.0810 0.7337  3 Ta 2.14, 1 Sc 2.24, 2 Li 2.25-2.26
N 0.5887 0.9190 0.2663  3 Ta 2.14, 1 Sc 2.24, 2 Li 2.25-2.26
N 0.7391 0.7391 0.7299  3 Ta 2.15-2.16, 1 Sc 2.24, 2 Li 2.26
N 0.9190 0.5887 0.2663  3 Ta 2.14, 1 Sc 2.24, 2 Li 2.25-2.26